(1)
Entry from the Alexandria database: an optimized crystal structure of PuU2BeN4 (PBE-GGA).

```
16
Lattice="3.454 0.000 0.000 -1.727 5.526 0.000 0.000 0.000 11.192" Properties=species:S:1:pos:R:3 pbc="T T T"
N 0.000 0.000 0.000
N 0.000 4.688 8.394
N 1.727 0.837 2.798
N 1.727 2.603 7.013
N 0.000 2.922 1.417
N 0.000 0.000 5.596
N 0.000 2.922 4.179
N 1.727 2.603 9.775
Pu 0.000 1.105 8.394
Pu 1.727 4.420 2.798
U 0.000 4.069 10.563
U 0.000 4.069 6.224
U 1.727 1.457 4.967
U 1.727 1.457 0.628
Be 1.727 3.537 8.394
Be 0.000 1.988 2.798
```

Results
Its total magnetization is 9.118 μB/f.u. Its raw formation energy is -9.32 eV/f.u. Its symmetry is Cmcm.

(2)
Entry from the Alexandria database: an optimized crystal structure of Pu2BeVN5 (PBE-GGA).

```
18
Lattice="3.138 0.000 0.000 -1.569 6.400 0.000 0.000 0.000 9.450" Properties=species:S:1:pos:R:3 pbc="T T T"
N 0.000 3.790 6.149
N 0.000 4.589 0.087
N 0.000 3.868 3.433
N 0.000 6.351 7.405
N 1.569 0.049 2.680
N 0.000 0.612 0.245
N 1.569 2.610 1.425
N 1.569 2.532 8.158
N 1.569 1.811 4.812
N 1.569 5.789 4.970
Pu 1.569 4.854 1.856
Pu 1.569 4.713 7.643
Pu 0.000 1.688 2.918
Pu 0.000 1.546 6.581
Be 1.569 0.097 9.234
Be 0.000 6.303 4.510
V 1.569 3.863 4.805
V 0.000 2.537 0.080
```

Results
Its total magnetization is 7.441 μB/f.u. Its raw formation energy is -8.38 eV/f.u. Its symmetry is Cmc2_1.

(3)
Entry from the Alexandria database: an optimized crystal structure of Pu2BeWN5 (PBE-GGA).

```
18
Lattice="3.139 0.000 0.000 -1.570 6.482 0.000 0.000 0.000 9.752" Properties=species:S:1:pos:R:3 pbc="T T T"
W 0.000 2.561 0.066
W 1.570 3.921 4.942
N 0.000 4.630 0.055
N 1.570 1.852 4.931
N 0.000 3.999 3.527
N 0.000 0.536 0.340
N 0.000 3.858 6.329
N 1.570 5.946 5.216
N 0.000 6.401 7.715
N 1.570 2.482 8.403
N 1.570 2.624 1.453
N 1.570 0.081 2.839
Pu 1.570 5.014 1.875
Pu 1.570 4.760 7.858
Pu 0.000 1.721 2.982
Pu 0.000 1.467 6.751
Be 1.570 0.020 4.651
Be 0.000 6.462 9.528
```

Results
Its total magnetization is 0.336 μB/f.u. Its raw formation energy is -7.42 eV/f.u. Its symmetry is Cmc2_1.

(4)
Entry from the Alexandria database: an optimized crystal structure of PuZr2BeN4 (PBE-GGA).

```
16
Lattice="-2.661 0.014 -1.846 0.669 -5.325 1.837 -6.034 2.248 8.716" Properties=species:S:1:pos:R:3 pbc="T T T"
N -2.625 -1.981 3.770
N 0.000 0.000 0.000
N -5.401 -1.083 4.937
N -2.944 -0.276 1.401
N -1.095 -2.551 1.560
N -5.082 -2.788 7.306
N -6.931 -0.513 7.147
N -3.017 1.124 4.358
Zr -3.819 -2.680 5.486
Zr -1.819 -1.273 -0.228
Zr -6.207 -1.791 8.935
Zr -4.207 -0.384 3.221
Be -6.289 -1.791 6.213
Be -1.737 -1.273 2.494
Pu -4.662 0.590 6.725
Pu -3.364 -3.654 1.982
```

Results
Its total magnetization is 5.256 μB/f.u. Its raw formation energy is -11.30 eV/f.u. Its symmetry is Cmcm.

(5)
Entry from the Alexandria database: an optimized crystal structure of Rb2BeN (PBE-GGA).

```
4
Lattice="2.765 3.128 3.512 -2.687 3.002 3.679 0.193 -1.345 5.284" Properties=species:S:1:pos:R:3 pbc="T T T"
Rb 0.068 1.196 3.119
Rb 0.204 3.589 9.356
Be 0.000 0.000 0.000
N 0.136 2.392 6.237
```

Results
Its total magnetization is 1.000 μB/f.u. Its raw formation energy is 5.58 eV/f.u. Its symmetry is Fm-3m. The energy above the most stable polymorph in this dataset is 1478 meV/atom.

(6)
Entry from the Alexandria database: an optimized crystal structure of Rb2BeN (PBE-GGA).

```
8
Lattice="-1.790 -11.445 4.538 2.702 -4.839 -11.138 1.984 -8.221 -2.895" Properties=species:S:1:pos:R:3 pbc="T T T"
Rb -0.664 -12.233 1.680
Rb 0.550 -15.535 -3.540
Rb 1.259 -11.249 -2.291
Rb 0.155 -16.598 0.836
Be 0.456 -8.142 -3.300
Be 2.571 -10.601 -8.667
N 0.325 -13.904 -0.829
N 0.000 0.000 0.000
```

Results
Its total magnetization is 0.001 μB/f.u. Its raw formation energy is -0.34 eV/f.u. Its symmetry is I-42d. The energy above the most stable polymorph in this dataset is 0 meV/atom.

(7)
Entry from the Alexandria database: an optimized crystal structure of RbBe3N (PBE-GGA).

```
5
Lattice="6.998 0.000 0.000 0.000 6.998 0.000 0.000 0.000 6.998" Properties=species:S:1:pos:R:3 pbc="T T T"
N 3.499 3.499 3.499
Rb 0.000 0.000 0.000
Be 0.000 3.499 0.000
Be 0.000 0.000 3.499
Be 3.499 0.000 0.000
```

Results
Its total magnetization is 2.523 μB/f.u. Its raw formation energy is 15.36 eV/f.u. Its symmetry is Pm-3m. The energy above the most stable polymorph in this dataset is 1688 meV/atom.

(8)
Entry from the Alexandria database: an optimized crystal structure of RbBeN3 (PBE-GGA).

```
5
Lattice="3.818 0.000 0.000 0.000 3.818 0.000 0.000 0.000 3.818" Properties=species:S:1:pos:R:3 pbc="T T T"
N 1.909 0.000 0.000
N 0.000 0.000 1.909
N 0.000 1.909 0.000
Rb 1.909 1.909 1.909
Be 0.000 0.000 0.000
```

Results
Its total magnetization is 0.000 μB/f.u. Its raw formation energy is 8.75 eV/f.u. Its symmetry is Pm-3m.

(9)
Entry from the Alexandria database: an optimized crystal structure of RbBe3N (PBE-GGA).

```
5
Lattice="-1.383 1.520 3.616 -3.518 -2.177 -0.431 1.735 -3.202 2.009" Properties=species:S:1:pos:R:3 pbc="T T T"
Rb -1.583 -1.929 2.597
Be 0.867 -1.601 1.005
Be -0.692 0.760 1.808
Be -1.759 -1.088 -0.215
N 0.000 0.000 0.000
```

Results
Its total magnetization is 0.000 μB/f.u. Its raw formation energy is 6.92 eV/f.u. Its symmetry is Pm-3m. The energy above the most stable polymorph in this dataset is 0 meV/atom.

(10)
Entry from the Alexandria database: an optimized crystal structure of RbBeN3 (PBE-GGA).

```
5
Lattice="4.333 0.000 0.000 0.000 4.333 0.000 0.000 0.000 4.333" Properties=species:S:1:pos:R:3 pbc="T T T"
Rb 0.000 0.000 0.000
N 0.000 2.166 0.000
N 0.000 0.000 2.166
N 2.166 0.000 0.000
Be 2.166 2.166 2.166
```

Results
Its total magnetization is 2.912 μB/f.u. Its raw formation energy is 18.60 eV/f.u. Its symmetry is Pm-3m.

(11)
Entry from the Alexandria database: an optimized crystal structure of RbBe2RuN (PBE-GGA).

```
5
Lattice="4.672 0.000 0.000 0.000 4.067 0.000 0.000 0.000 4.672" Properties=species:S:1:pos:R:3 pbc="T T T"
Be 0.000 0.000 2.336
Be 2.336 0.000 0.000
Rb 0.000 0.000 0.000
N 0.000 2.034 0.000
Ru 2.336 2.034 2.336
```

Results
Its total magnetization is 1.679 μB/f.u. Its raw formation energy is 15.14 eV/f.u. Its symmetry is P4/mmm.

(12)
Entry from the Alexandria database: an optimized crystal structure of RbBeSN2 (PBE-GGA).

```
5
Lattice="4.430 0.000 0.000 0.000 4.430 0.000 0.000 0.000 6.462" Properties=species:S:1:pos:R:3 pbc="T T T"
N 0.000 2.215 0.000
N 2.215 0.000 0.000
S 0.000 0.000 3.231
Be 2.215 2.215 3.231
Rb 0.000 0.000 0.000
```

Results
Its total magnetization is 3.521 μB/f.u. Its raw formation energy is 14.23 eV/f.u. Its symmetry is P4/mmm. The energy above the most stable polymorph in this dataset is 1681 meV/atom.